[1]
Material: ScTaI2
Method: DFT, SCAN
State: PBEsol geometry

Structure (POSCAR):
```
ScTaI2
1.0
-4.826 -0.210 0.020
0.183 -3.957 2.764
2.128 7.229 5.988
I Sc Ta
4 2 2
direct
0.365 0.875 0.250
0.885 0.375 0.250
0.125 0.115 0.750
0.625 0.635 0.750
0.750 0.250 0.500
0.500 0.500 0.000
0.250 0.750 0.500
0.000 0.000 0.000
```

Values from the calculation:
Fermi-level density of states: 3.2 states/eV/f.u.
Total energy: -38.06 eV/atom
Magnetization: 0.454 μB/atom

[2]
Material: CdReBr2
Method: DFT, SCAN
State: PBEsol geometry

Structure (POSCAR):
```
CdReBr2
1.0
3.152 0.000 0.000
0.000 4.544 0.000
0.000 0.000 5.770
Re Br Cd
1 2 1
direct
0.000 0.500 0.500
0.000 0.000 0.000
0.500 0.000 0.500
0.500 0.500 0.000
```

Values from the calculation:
Offset from the most stable computed form: 701 meV/atom
Fermi-level density of states: 2.1 states/eV/f.u.
Magnetization: 0.608 μB/atom

[3]
Material: LiRhW2
Method: DFT, SCAN
State: PBEsol geometry

Structure (POSCAR):
```
LiRhW2
1.0
-2.433 -1.035 0.369
1.731 -3.785 0.798
0.843 1.389 4.760
Li Rh W
1 1 2
direct
0.437 0.000 0.494
0.320 0.500 0.747
0.983 0.000 0.988
0.761 0.500 0.271
```

Values from the calculation:
DFT formation energy: 0.153 eV/atom
Offset from the most stable computed form: 45 meV/atom
Fermi-level density of states: 2.7 states/eV/f.u.
Magnetization: 0.000 μB/atom

[4]
Material: ZrScAs3
Method: DFT, SCAN
State: PBEsol geometry

Structure (POSCAR):
```
ZrScAs3
1.0
-1.058 -0.464 -4.918
-4.565 -1.830 1.154
-1.887 4.685 -0.036
Sc As Zr
1 3 1
direct
0.500 0.500 0.500
0.000 0.500 0.000
0.000 0.000 0.500
0.500 0.000 0.000
0.000 0.000 0.000
```

Values from the calculation:
DFT formation energy: -0.037 eV/atom
Fermi-level density of states: 5.0 states/eV/f.u.
Magnetization: 0.000 μB/atom

- Look up the Fermi-level density of states of the third one.
  2.7 states/eV/f.u.